Density functional theory data (PBE) for a geometry-optimized Sm2PaH structure.

Summary:
Magnetization, μB/f.u.: 0.0
Calculated volume, Å³/cell: 90
ΔE to the lowest computed polymorph, meV per atom: 0

The structure in POSCAR format:
```
Sm2PaH
1.0
1.652 0.954 9.556
-1.652 0.954 9.556
0.000 -1.907 9.556
Sm Pa H
2 1 1
Direct
0.113 0.113 0.113 Sm
0.887 0.887 0.887 Sm
0.000 0.000 0.000 Pa
0.500 0.500 0.500 H
```